An optimized crystal structure of CaZnPbO4. Source: the Alexandria database, functional PBE.

Cell: 6.506 6.556 6.556 Å, 61.44 60.25 60.25°
Sites, in units of the cell vectors:
O  0.233  0.256  0.756
O  0.237  0.767  0.759
Ca  0.000  0.000  0.500
O  0.237  0.259  0.267
Pb  0.000  0.500  0.500
Ca  0.500  0.000  0.500
O  0.763  0.741  0.733
O  0.755  0.256  0.756
O  0.245  0.744  0.244
O  0.763  0.233  0.241
Pb  0.000  0.000  0.000
O  0.767  0.744  0.244
Zn  0.353  0.397  0.897
Zn  0.647  0.603  0.103

Values from the calculation:
Space-group type = Imma
Raw total energy = -5.425 eV/atom
Energy relative to the elements, uncorrected = -1.595 eV/atom


An optimized crystal structure of ReBr2Cl. Source: the Alexandria database, functional PBE.

Cell: 9.870 9.870 9.870 Å, 19.21 19.21 19.21°
Sites, in units of the cell vectors:
Re  0.755  0.755  0.755
Br  0.026  0.026  0.026
Br  0.246  0.246  0.246
Cl  0.473  0.473  0.473

Values from the calculation:
Space-group type = R3m
Raw total energy = -4.047 eV/atom
Energy relative to the elements, uncorrected = 0.363 eV/atom


An optimized crystal structure of AsRuCl3. Source: the Alexandria database, functional PBE.

Cell: 4.742 4.742 4.742 Å, 90.00 90.00 90.00°
Sites, in units of the cell vectors:
Cl  0.500  0.000  0.000
As  0.500  0.500  0.500
Cl  0.000  0.000  0.500
Ru  0.000  0.000  0.000
Cl  0.000  0.500  0.000

Values from the calculation:
Space-group type = Pm-3m
Raw total energy = -3.509 eV/atom
Energy relative to the elements, uncorrected = 0.384 eV/atom


An optimized crystal structure of PrDy2Co. Source: the Alexandria database, functional PBE.

Cell: 3.422 3.422 9.002 Å, 90.00 90.00 90.00°
Sites, in units of the cell vectors:
Dy  0.000  0.000  0.178
Co  0.500  0.500  0.000
Dy  0.000  0.000  0.822
Pr  0.500  0.500  0.500

Values from the calculation:
Space-group type = P4/mmm
Raw total energy = -5.340 eV/atom
Energy relative to the elements = -6.5 kJ per mole of atoms


An optimized crystal structure of Dy2Er5Co2. Source: the Alexandria database, functional PBE.

Cell: 6.990 6.937 10.317 Å, 90.00 70.20 90.00°
Sites, in units of the cell vectors:
Dy  0.268  0.500  0.464
Er  0.925  0.322  0.788
Co  0.386  0.889  0.000
Dy  0.768  0.000  0.464
Er  0.425  0.178  0.788
Er  0.213  0.178  0.212
Co  0.614  0.111  0.000
Dy  0.232  0.000  0.536
Er  0.713  0.322  0.212
Er  0.287  0.678  0.788
Co  0.886  0.611  0.000
Er  0.000  0.000  0.000
Er  0.787  0.822  0.788
Er  0.075  0.678  0.212
Dy  0.732  0.500  0.536
Er  0.500  0.500  0.000
Co  0.114  0.389  0.000
Er  0.575  0.822  0.212

Values from the calculation:
Space-group type = Cmce
Raw total energy = -5.216 eV/atom
Energy relative to the elements = -7.6 kJ per mole of atoms


An optimized crystal structure of Rb2UAu2Se4. Source: the Alexandria database, functional PBE.

Cell: 4.253 8.297 8.011 Å, 108.59 105.39 90.00°
Sites, in units of the cell vectors:
Au  0.678  0.986  0.356
Se  0.809  0.805  0.619
Se  0.511  0.768  0.021
Rb  0.865  0.421  0.729
Se  0.191  0.195  0.381
U  0.000  0.000  0.000
Au  0.322  0.014  0.644
Rb  0.135  0.579  0.271
Se  0.489  0.232  0.979

Values from the calculation:
Space-group type = C2/m
Raw total energy = -4.596 eV/atom
Energy relative to the elements, uncorrected = -0.849 eV/atom


An optimized crystal structure of Pm8Nd3Y2. Source: the Alexandria database, functional PBE.

Cell: 5.804 7.750 10.973 Å, 110.68 90.03 90.00°
Sites, in units of the cell vectors:
Pm  0.001  0.865  0.730
Nd  0.000  0.289  0.000
Pm  0.500  0.816  0.215
Pm  0.500  0.399  0.215
Pm  0.500  0.601  0.785
Pm  0.500  0.184  0.785
Nd  0.500  0.000  0.000
Y  0.502  0.758  0.517
Pm  0.999  0.135  0.270
Pm  0.999  0.327  0.655
Y  0.498  0.242  0.483
Nd  0.000  0.711  0.000
Pm  0.001  0.673  0.345

Values from the calculation:
Space-group type = C2/m
Raw total energy = -4.801 eV/atom
Energy relative to the elements = 20.9 kJ per mole of atoms


An optimized crystal structure of BOF. Source: the Alexandria database, functional PBE.

Cell: 2.522 2.522 5.063 Å, 105.44 89.57 120.01°
Sites, in units of the cell vectors:
F  0.673  0.371  0.502
O  0.136  0.310  0.889
B  0.767  0.568  0.782

Values from the calculation:
Space-group type = P1
Raw total energy = -6.893 eV/atom
Energy relative to the elements, uncorrected = -2.390 eV/atom


An optimized crystal structure of Hf2CuMo2. Source: the Alexandria database, functional PBE.

Cell: 3.579 3.579 8.055 Å, 77.16 77.16 90.00°
Sites, in units of the cell vectors:
Mo  0.750  0.250  0.500
Hf  0.401  0.401  0.198
Hf  0.599  0.599  0.802
Cu  0.000  0.000  0.000
Mo  0.250  0.750  0.500

Values from the calculation:
Space-group type = I4/mmm
Raw total energy = -8.636 eV/atom
Energy relative to the elements = 48.0 kJ per mole of atoms


An optimized crystal structure of BeRhAu. Source: the Alexandria database, functional PBE.

Cell: 5.350 5.350 5.350 Å, 149.24 149.24 44.06°
Sites, in units of the cell vectors:
Au  0.985  0.985  0.000
Rh  0.697  0.697  0.000
Be  0.319  0.319  0.000

Values from the calculation:
Space-group type = I4mm
Raw total energy = -5.037 eV/atom
Energy relative to the elements = -24.4 kJ per mole of atoms


An optimized crystal structure of CaSnH. Source: the Alexandria database, functional PBE.

Cell: 3.179 3.179 6.473 Å, 104.21 104.21 90.00°
Sites, in units of the cell vectors:
Ca  0.730  0.730  0.459
H  0.266  0.266  0.531
Sn  0.005  0.005  0.009

Values from the calculation:
Space-group type = I4mm
Raw total energy = -3.416 eV/atom


An optimized crystal structure of TePRu3. Source: the Alexandria database, functional PBE.

Cell: 4.822 4.822 4.822 Å, 90.00 90.00 90.00°
Sites, in units of the cell vectors:
Ru  0.000  0.000  0.500
P  0.500  0.500  0.500
Ru  0.500  0.000  0.000
Te  0.000  0.000  0.000
Ru  0.000  0.500  0.000

Values from the calculation:
Space-group type = Pm-3m
Raw total energy = -5.472 eV/atom
Energy relative to the elements, uncorrected = 1.804 eV/atom


An optimized crystal structure of La2ScMo. Source: the Alexandria database, functional PBE.

Cell: 4.677 3.490 6.742 Å, 71.51 90.00 90.00°
Sites, in units of the cell vectors:
Mo  0.500  0.250  0.250
La  0.000  0.095  0.020
La  0.000  0.405  0.480
Sc  0.500  0.750  0.750

Values from the calculation:
Space-group type = P2/m
Raw total energy = -6.334 eV/atom
Energy relative to the elements = 40.6 kJ per mole of atoms


An optimized crystal structure of LiReAs2. Source: the Alexandria database, functional PBE.

Cell: 4.720 4.720 4.688 Å, 84.61 84.61 39.59°
Sites, in units of the cell vectors:
Re  0.733  0.733  0.787
As  0.013  0.013  0.914
As  0.243  0.243  0.382
Li  0.511  0.511  0.418

Values from the calculation:
Space-group type = Cm
Raw total energy = -5.888 eV/atom
Energy relative to the elements = 2.7 kJ per mole of atoms


An optimized crystal structure of Li4SmU3S8. Source: the Alexandria database, functional PBE.

Cell: 7.783 7.710 7.785 Å, 120.30 119.99 90.00°
Sites, in units of the cell vectors:
S  0.745  0.242  0.998
Li  0.500  0.000  0.000
Li  0.000  0.000  0.500
Sm  0.000  0.500  0.000
S  0.253  0.242  0.998
S  0.248  0.244  0.496
U  0.000  0.500  0.500
Li  0.500  0.000  0.500
S  0.747  0.758  0.002
U  0.500  0.500  0.000
U  0.500  0.500  0.500
S  0.745  0.242  0.490
S  0.255  0.758  0.002
Li  0.000  0.000  0.000
S  0.752  0.756  0.504
S  0.255  0.758  0.510

Values from the calculation:
Space-group type = R-3m
Raw total energy = -6.416 eV/atom
Energy relative to the elements, uncorrected = -1.462 eV/atom


An optimized crystal structure of Pu3AlAu2. Source: the Alexandria database, functional PBE.

Cell: 3.016 3.016 14.540 Å, 90.00 90.00 90.00°
Sites, in units of the cell vectors:
Pu  0.000  0.000  0.831
Au  0.500  0.500  0.326
Au  0.500  0.500  0.674
Pu  0.000  0.000  0.000
Al  0.500  0.500  0.500
Pu  0.000  0.000  0.169

Values from the calculation:
Space-group type = P4/mmm
Raw total energy = -8.745 eV/atom
Energy relative to the elements = 13.3 kJ per mole of atoms


An optimized crystal structure of B2RuAu. Source: the Alexandria database, functional PBE.

Cell: 4.878 4.878 5.874 Å, 65.46 65.46 90.00°
Sites, in units of the cell vectors:
Ru  0.250  0.750  0.500
B  0.875  0.845  0.750
Au  0.750  0.250  0.500
Ru  0.500  0.500  0.000
B  0.595  0.125  0.250
Au  0.000  0.000  0.000
B  0.375  0.405  0.750
B  0.155  0.625  0.250

Values from the calculation:
Space-group type = I-42d
Raw total energy = -5.947 eV/atom
Energy relative to the elements = 51.1 kJ per mole of atoms


An optimized crystal structure of AcCd2Sb. Source: the Alexandria database, functional PBE.

Cell: 5.318 4.726 4.726 Å, 90.00 90.00 90.00°
Sites, in units of the cell vectors:
Cd  0.000  0.000  0.500
Sb  0.500  0.500  0.500
Cd  0.000  0.500  0.000
Ac  0.500  0.000  0.000

Values from the calculation:
Space-group type = P4/mmm
Raw total energy = -2.995 eV/atom
Energy relative to the elements, uncorrected = -0.479 eV/atom


An optimized crystal structure of Y8Ni2S. Source: the Alexandria database, functional PBE.

Cell: 3.742 8.785 9.209 Å, 95.55 101.72 90.00°
Sites, in units of the cell vectors:
Ni  0.823  0.252  0.646
Y  0.784  0.676  0.567
Y  0.654  0.975  0.309
Y  0.216  0.324  0.433
Y  0.598  0.558  0.197
Y  0.346  0.025  0.691
Ni  0.177  0.748  0.354
S  0.500  0.000  0.000
Y  0.016  0.220  0.031
Y  0.402  0.442  0.803
Y  0.984  0.780  0.969

Values from the calculation:
Space-group type = C2/m
Raw total energy = -6.625 eV/atom
Energy relative to the elements, uncorrected = -0.498 eV/atom


An optimized crystal structure of Ce3Si2Pd5. Source: the Alexandria database, functional PBE.

Cell: 5.821 8.857 8.857 Å, 84.62 70.82 70.82°
Sites, in units of the cell vectors:
Si  0.862  0.296  0.980
Pd  0.360  0.787  0.493
Pd  0.982  0.768  0.768
Ce  0.388  0.405  0.819
Ce  0.112  0.181  0.595
Pd  0.018  0.232  0.232
Pd  0.750  0.500  0.500
Ce  0.750  0.000  0.000
Pd  0.518  0.232  0.232
Pd  0.860  0.493  0.787
Si  0.362  0.980  0.296
Pd  0.640  0.213  0.507
Ce  0.888  0.819  0.405
Pd  0.140  0.507  0.213
Si  0.138  0.704  0.020
Si  0.638  0.020  0.704
Pd  0.482  0.768  0.768
Ce  0.612  0.595  0.181
Ce  0.250  0.000  0.000
Pd  0.250  0.500  0.500

Values from the calculation:
Space-group type = Ibam
Raw total energy = -6.051 eV/atom
Energy relative to the elements, uncorrected = -0.590 eV/atom


An optimized crystal structure of Li3YIn. Source: the Alexandria database, functional PBE.

Cell: 5.538 5.538 5.538 Å, 90.00 90.00 90.00°
Sites, in units of the cell vectors:
Li  0.000  0.500  0.000
Li  0.000  0.000  0.500
In  0.500  0.500  0.500
Li  0.500  0.000  0.000
Y  0.000  0.000  0.000

Values from the calculation:
Space-group type = Pm-3m
Raw total energy = -2.015 eV/atom
Energy relative to the elements = 94.0 kJ per mole of atoms


An optimized crystal structure of ThScAs2. Source: the Alexandria database, functional PBE.

Cell: 4.108 4.108 6.972 Å, 72.87 72.87 60.00°
Sites, in units of the cell vectors:
Sc  0.000  0.000  0.000
Th  0.500  0.500  0.500
As  0.258  0.258  0.226
As  0.742  0.742  0.774

Values from the calculation:
Space-group type = R-3m
Raw total energy = -7.133 eV/atom
Energy relative to the elements = -132.2 kJ per mole of atoms


An optimized crystal structure of Hf2ScBiC. Source: the Alexandria database, functional PBE.

Cell: 4.511 4.737 4.511 Å, 90.00 90.00 90.00°
Sites, in units of the cell vectors:
Bi  0.500  0.500  0.500
Sc  0.000  0.500  0.000
C  0.000  0.000  0.000
Hf  0.000  0.000  0.500
Hf  0.500  0.000  0.000

Values from the calculation:
Space-group type = P4/mmm
Raw total energy = -8.219 eV/atom
Energy relative to the elements = -33.8 kJ per mole of atoms


An optimized crystal structure of Ti5TcPt2Rh2. Source: the Alexandria database, functional PBE.

Cell: 2.965 10.563 10.563 Å, 90.00 90.00 90.00°
Sites, in units of the cell vectors:
Tc  0.000  0.000  0.000
Rh  0.000  0.644  0.856
Ti  0.500  0.865  0.153
Tc  0.000  0.500  0.500
Ti  0.500  0.635  0.653
Rh  0.000  0.356  0.144
Pt  0.000  0.348  0.848
Ti  0.500  0.365  0.347
Rh  0.000  0.144  0.644
Ti  0.500  0.847  0.865
Pt  0.000  0.652  0.152
Pt  0.000  0.848  0.652
Ti  0.500  0.153  0.135
Ti  0.500  0.653  0.365
Ti  0.500  0.347  0.635
Pt  0.000  0.152  0.348
Ti  0.500  0.000  0.500
Ti  0.500  0.500  0.000
Rh  0.000  0.856  0.356
Ti  0.500  0.135  0.847

Values from the calculation:
Space-group type = P4/mbm
Raw total energy = -8.161 eV/atom
Energy relative to the elements = -48.1 kJ per mole of atoms


An optimized crystal structure of Y2Ni2Hg. Source: the Alexandria database, functional PBE.

Cell: 3.734 3.909 7.276 Å, 105.58 90.00 90.00°
Sites, in units of the cell vectors:
Y  0.500  0.364  0.729
Hg  0.000  0.000  0.000
Y  0.500  0.636  0.271
Ni  0.000  0.800  0.599
Ni  0.000  0.200  0.401

Values from the calculation:
Space-group type = Cmmm
Raw total energy = -5.454 eV/atom
Energy relative to the elements = -47.8 kJ per mole of atoms